Below is Cs2AcCoO4 after structural relaxation, with properties calculated at the PBE+U level.

Computed properties:
* spin magnetization: 3.98 μB per formula unit
* calculated volume: 33.11 Å³ per atom

CIF file:
```
data_Cs2AcCoO4
_cell_length_a 6.214
_cell_length_b 13.305
_cell_length_c 25.630
_cell_angle_alpha 90.00
_cell_angle_beta 90.00
_cell_angle_gamma 90.00
_space_group_name_H-M_alt 'F d d d'
_space_group_IT_number 70
loop_
_space_group_symop_operation_xyz
'x,y,z'
'-x,-y,-z'
'-x+1/4,-y+1/4,z'
'x+1/4,y+1/4,-z'
'x,-y+1/4,-z+1/4'
'-x,y+1/4,z+1/4'
'-x+1/4,y,-z+1/4'
'x+1/4,-y,z+1/4'
'x,y+1/2,z+1/2'
'-x,-y+1/2,-z+1/2'
'-x+1/4,-y+3/4,z+1/2'
'x+1/4,y+3/4,-z+1/2'
'x,-y+3/4,-z+3/4'
'-x,y+3/4,z+3/4'
'-x+1/4,y+1/2,-z+3/4'
'x+1/4,-y+1/2,z+3/4'
'x+1/2,y,z+1/2'
'-x+1/2,-y,-z+1/2'
'-x+3/4,-y+1/4,z+1/2'
'x+3/4,y+1/4,-z+1/2'
'x+1/2,-y+1/4,-z+3/4'
'-x+1/2,y+1/4,z+3/4'
'-x+3/4,y,-z+3/4'
'x+3/4,-y,z+3/4'
'x+1/2,y+1/2,z'
'-x+1/2,-y+1/2,-z'
'-x+3/4,-y+3/4,z'
'x+3/4,y+3/4,-z'
'x+1/2,-y+3/4,-z+1/4'
'-x+1/2,y+3/4,z+1/4'
'-x+3/4,y+1/2,-z+1/4'
'x+3/4,-y+1/2,z+1/4'
loop_
_atom_site_label
_atom_site_type_symbol
_atom_site_fract_x
_atom_site_fract_y
_atom_site_fract_z
Cs1 Cs 0.125 0.125 0.321
Ac1 Ac 0.125 0.125 0.125
Co1 Co 0.125 0.125 0.625
O1 O 0.078 0.285 0.845
```


Below is CsAc2CoO5 after structural relaxation, with properties calculated at the PBE+U level.

Computed properties:
* spin magnetization: 2.02 μB per formula unit
* calculated volume: 17.16 Å³ per atom

CIF file:
```
data_CsAc2CoO5
_cell_length_a 7.260
_cell_length_b 7.260
_cell_length_c 5.860
_cell_angle_alpha 90.00
_cell_angle_beta 90.00
_cell_angle_gamma 90.00
_space_group_name_H-M_alt 'P 4/m b m'
_space_group_IT_number 127
_space_group_name_Hall '-P 4 2ab'
loop_
_atom_site_label
_atom_site_type_symbol
_atom_site_fract_x
_atom_site_fract_y
_atom_site_fract_z
Cs1 Cs 0.000 0.000 0.000
Ac1 Ac 0.182 0.318 0.500
Co1 Co 0.000 0.500 0.000
O1 O 0.000 0.000 0.500
O2 O 0.124 0.624 0.235
```


Below is Cs3Ac3CoO8 after structural relaxation, with properties calculated at the PBE+U level.

Computed properties:
* spin magnetization: 5.03 μB per formula unit
* calculated volume: 22.17 Å³ per atom

CIF file:
```
data_Cs3Ac3CoO8
_cell_length_a 7.4092
_cell_length_b 7.4092
_cell_length_c 20.9877
_cell_angle_alpha 90.00
_cell_angle_beta 90.00
_cell_angle_gamma 120.00
_space_group_name_H-M_alt 'R -3 m'
_space_group_IT_number 166
_space_group_name_Hall '-R 3 2"'
loop_
_atom_site_label
_atom_site_type_symbol
_atom_site_fract_x
_atom_site_fract_y
_atom_site_fract_z
Cs1 Cs 0.0000 0.5000 0.0000
Ac1 Ac 0.0000 0.5000 0.5000
Co1 Co 0.0000 0.0000 0.5000
O1 O 0.0000 0.0000 0.2255
O2 O 0.0468 0.5234 0.2187
```


Below is CsAcCo2O6 after structural relaxation, with properties calculated at the PBE+U level.

Computed properties:
* spin magnetization: 6.00 μB per formula unit
* calculated volume: 20.75 Å³ per atom

CIF file:
```
data_CsAcCo2O6
_cell_length_a 9.682
_cell_length_b 11.557
_cell_length_c 7.842
_cell_angle_alpha 90.00
_cell_angle_beta 108.97
_cell_angle_gamma 90.00
_space_group_name_H-M_alt 'C 1 2/c 1'
_space_group_IT_number 15
loop_
_space_group_symop_operation_xyz
'x,y,z'
'-x,-y,-z'
'-x,y,-z+1/2'
'x,-y,z+1/2'
'x+1/2,y+1/2,z'
'-x+1/2,-y+1/2,-z'
'-x+1/2,y+1/2,-z+1/2'
'x+1/2,-y+1/2,z+1/2'
loop_
_atom_site_label
_atom_site_type_symbol
_atom_site_fract_x
_atom_site_fract_y
_atom_site_fract_z
Cs1 Cs 0.000 0.128 0.250
Ac1 Ac 0.000 0.420 0.750
Co1 Co 0.240 0.368 0.249
O1 O 0.073 0.395 0.095
O2 O 0.159 0.253 0.715
O3 O 0.232 0.012 0.624
```


The following raw total energy values (in eV/cell) correspond, in order, to the records above: -343.72; -119.53; -269.76; -239.15.